This record from the Alexandria database describes Tb4Tm3Sc after structural relaxation. The functional is PBE.

Computed properties:
- formation energy from the elements (meV per atom) = 16
- energy relative to the lowest polymorph listed for this composition (meV per atom) = 0
- density of states at the Fermi level (states/eV per cell) = 28.25

Unit cell a=11.086 b=7.150 c=6.184 alpha=90.00 beta=90.00 gamma=90.00
Space group Pmn2_1 (No. 31)
Symmetry-distinct sites (fractional):
Tb (0.000, 0.128, 0.000) x2
Tb (0.000, 0.872, 0.493) x2
Tb (0.246, 0.871, 0.833) x4
Tm (0.000, 0.378, 0.497) x2
Tm (0.249, 0.379, 0.828) x4
Sc (0.000, 0.621, 0.996) x2